# Rb2Ga2Bi3

A relaxed Rb2Ga2Bi3 crystal (PBE, Alexandria via LeMat-Bulk).

POSCAR file:
```
Rb2Ga2Bi3
1.0
7.134 0.000 0.000
0.000 9.741 0.000
-4.813 0.000 8.153
Rb Ga Bi
4 4 6
Cartesian
-0.890 1.233 3.357 Rb
-3.297 3.638 7.433 Rb
5.618 6.103 0.720 Rb
3.211 8.509 4.797 Rb
-0.096 6.531 4.710 Ga
2.311 8.081 0.633 Ga
0.010 1.661 7.520 Ga
2.417 3.210 3.443 Ga
0.000 0.000 0.000 Bi
-2.407 4.871 4.077 Bi
1.835 5.951 2.548 Bi
-0.571 8.661 6.625 Bi
2.892 1.080 1.528 Bi
0.486 3.790 5.605 Bi
```

The energy is -2.931 eV per atom. The crystal system is monoclinic. The value obtained for the size of the total moment is 0.0 μB/f.u.